Record 1
An optimized crystal structure of SiTc2Pb, computed with GGA-PBE.

Cell: 3.189 5.124 8.291 Å, 90.00 90.00 90.00°
Space group Immm (No. 71)
Symmetry-distinct sites (fractional):
Si: 0.000 0.000 0.000
Tc: 0.000 0.500 0.285
Pb: 0.000 0.000 0.500

Results
Crystal system: orthorhombic
Volume in Å³ per atom: 16.9
Raw formation energy in eV per atom: 0.365
Distance to the lowest polymorph of the same formula in meV/atom: 192
Total magnetization in μB per atom: 0.000

---

Record 2
An optimized crystal structure of LaCrHg2, computed with GGA-PBE.

Cell: 4.636 4.636 4.676 Å, 90.00 90.00 90.00°
Space group P4/mmm (No. 123)
Symmetry-distinct sites (fractional):
La: 0.000 0.000 0.000
Cr: 0.500 0.500 0.000
Hg: 0.000 0.500 0.500

Results
Crystal system: tetragonal
Volume in Å³ per atom: 25.1
Uncorrected energy in eV per atom: -3.71
Total magnetization in μB per atom: 0.943

---

Record 3
An optimized crystal structure of KSr2Fe, computed with GGA-PBE.

Cell: 8.384 8.393 4.571 Å, 90.00 90.00 90.00°
Space group Cmmm (No. 65)
Symmetry-distinct sites (fractional):
K: 0.000 0.000 0.000
Sr: 0.250 0.250 0.500
Fe: 0.000 0.500 0.000

Results
Crystal system: orthorhombic
Volume in Å³ per atom: 40.2
Uncorrected energy in eV per atom: -2.50
Total magnetization in μB per atom: 0.706

---

Record 4
An optimized crystal structure of MoRuPt, computed with GGA-PBE.

Cell: 5.962 5.962 5.962 Å, 90.00 90.00 90.00°
Space group F-43m (No. 216)
Symmetry-distinct sites (fractional):
Mo: 0.000 0.000 0.000
Ru: 0.250 0.250 0.250
Pt: 0.250 0.250 0.750

Results
Crystal system: cubic
Volume in Å³ per atom: 17.7
Distance to the lowest polymorph of the same formula in meV/atom: 454
Total magnetization in μB per atom: 0.000

---

Record 5
An optimized crystal structure of BiSbO4, computed with GGA-PBE.

Cell: 6.022 5.103 5.850 Å, 90.00 107.73 90.00°
Space group P2_1/c (No. 14)
Symmetry-distinct sites (fractional):
Bi: 0.000 0.000 0.000
Sb: 0.500 0.000 0.500
O: 0.183 0.144 0.394
O: 0.376 0.720 0.690

Results
Crystal system: monoclinic
Volume in Å³ per atom: 14.3
Raw formation energy in eV per atom: -1.330
Total magnetization in μB per atom: 0.000

---

Record 6
An optimized crystal structure of BaTcS2, computed with GGA-PBE.

Cell: 4.448 6.219 8.718 Å, 74.72 83.76 70.33°
Space group P1 (No. 1)
Symmetry-distinct sites (fractional):
Ba: 0.000 0.000 0.000
Ba: 0.243 0.593 0.671
Tc: 0.250 0.274 0.309
Tc: 0.684 0.167 0.455
S: 0.126 0.934 0.344
S: 0.343 0.403 0.035
S: 0.553 0.997 0.723
S: 0.820 0.501 0.430

Results
Crystal system: triclinic
Volume in Å³ per atom: 27.4
Raw formation energy in eV per atom: -1.032
Distance to the lowest polymorph of the same formula in meV/atom: 85
Total magnetization in μB per atom: 0.000

---

Record 7
An optimized crystal structure of Sm2YEr5Tm, computed with GGA-PBE.

Cell: 8.599 8.599 15.430 Å, 90.00 90.00 90.00°
Space group I4/mcm (No. 140)
Symmetry-distinct sites (fractional):
Sm: 0.117 0.383 0.000
Y: 0.000 0.000 0.250
Er: 0.000 0.000 0.000
Er: 0.211 0.289 0.361
Tm: 0.000 0.500 0.250

Results
Crystal system: tetragonal
Volume in Å³ per atom: 31.7
Uncorrected energy in eV per atom: -4.52
Total magnetization in μB per atom: 0.000

---

Record 8
An optimized crystal structure of LiSnAu2, computed with GGA-PBE.

Cell: 3.9540 3.9540 18.8305 Å, 90.00 90.00 120.00°
Space group R3m (No. 160, hexagonal axes)
Symmetry-distinct sites (fractional):
Li: 0.0000 0.0000 0.0000
Sn: 0.0000 0.0000 0.1696
Au: 0.0000 0.0000 0.5935
Au: 0.0000 0.0000 0.7440

Results
Crystal system: trigonal
Volume in Å³ per atom: 21.2
Uncorrected energy in eV per atom: -3.39
Total magnetization in μB per atom: 0.000

---

Record 9
An optimized crystal structure of Mg4InHg2, computed with GGA-PBE.

Cell: 5.401 5.401 14.034 Å, 90.00 90.00 90.00°
Space group I4/mmm (No. 139)
Symmetry-distinct sites (fractional):
Mg: 0.000 0.000 0.198
Mg: 0.000 0.500 0.000
In: 0.000 0.000 0.000
Hg: 0.000 0.000 0.391

Results
Crystal system: tetragonal
Volume in Å³ per atom: 29.2
Distance to the lowest polymorph of the same formula in meV/atom: 290
Total magnetization in μB per atom: 0.000

---

Record 10
An optimized crystal structure of HfGa3H, computed with GGA-PBE.

Cell: 4.163 4.163 4.163 Å, 90.00 90.00 90.00°
Space group Pm-3m (No. 221)
Symmetry-distinct sites (fractional):
Hf: 0.000 0.000 0.000
Ga: 0.000 0.500 0.500
H: 0.500 0.500 0.500

Results
Crystal system: cubic
Volume in Å³ per atom: 14.4
Distance to the lowest polymorph of the same formula in meV/atom: 0
Total magnetization in μB per atom: 0.000

---

Record 11
An optimized crystal structure of Ba2Li2TmO4, computed with GGA-PBE.

Cell: 12.609 3.477 6.321 Å, 90.00 107.66 90.00°
Space group C2/m (No. 12)
Symmetry-distinct sites (fractional):
Ba: 0.142 0.000 0.056
Li: 0.181 0.500 0.494
Tm: 0.000 0.000 0.500
O: 0.025 0.500 0.281
O: 0.191 0.000 0.649

Results
Crystal system: monoclinic
Volume in Å³ per atom: 14.7
Raw formation energy in eV per atom: -2.277
Total magnetization in μB per atom: 0.031

---

Record 12
An optimized crystal structure of MnNbAsBr2, computed with GGA-PBE.

Cell: 4.810 4.810 5.065 Å, 90.00 90.00 90.00°
Space group P4/mmm (No. 123)
Symmetry-distinct sites (fractional):
Mn: 0.000 0.000 0.000
Nb: 0.500 0.500 0.500
As: 0.000 0.000 0.500
Br: 0.000 0.500 0.000

Results
Crystal system: tetragonal
Volume in Å³ per atom: 23.4
Raw formation energy in eV per atom: 0.776
Distance to the lowest polymorph of the same formula in meV/atom: 446
Total magnetization in μB per atom: 0.686

---

Record 13
An optimized crystal structure of LiZrMn2, computed with GGA-PBE.

Cell: 3.309 3.309 5.817 Å, 90.00 90.00 90.00°
Space group P4/mmm (No. 123)
Symmetry-distinct sites (fractional):
Li: 0.000 0.000 0.000
Zr: 0.000 0.000 0.500
Mn: 0.500 0.500 0.245

Results
Crystal system: tetragonal
Volume in Å³ per atom: 15.9
Uncorrected energy in eV per atom: -6.93
Total magnetization in μB per atom: 1.300